Below is crystalline Pa4As2OsS at its relaxed geometry, with properties calculated at the PBE-GGA level.

a = 7.010 Å, b = 3.941 Å, c = 7.102 Å
α = 90.00°, β = 108.69°, γ = 90.00°
Positions (direct):
Pa  0.238  0.000  0.231
Pa  0.253  0.500  0.766
Pa  0.747  0.500  0.234
Pa  0.762  0.000  0.769
As  0.000  0.000  0.500
As  0.500  0.500  0.500
Os  0.000  0.500  0.000
S  0.500  0.000  0.000

Computed properties:
Calculated total energy: -0.324 hartree per atom
Total moment: 0.00 μB per formula unit
Crystal system: monoclinic